1.
## Cs2CdBr3Cl (PBE)

Data for an optimized crystal structure of Cs2CdBr3Cl.

a b c (Å): 5.462 5.620 9.740
angles (deg): 106.77 106.28 90.00
Fractional positions:
Br 0.846 0.846 0.691
Br 0.000 0.500 0.000
Br 0.154 0.154 0.309
Cd 0.000 0.000 0.000
Cl 0.500 0.000 0.000
Cs 0.639 0.639 0.277
Cs 0.361 0.361 0.723

calculated volume = 274 Å³ per cell
DFT total energy = -19.794 eV per cell


2.
## Pa3Ga2Ni8 (PBE)

Data for an optimized crystal structure of Pa3Ga2Ni8.

a b c (Å): 5.011 5.011 10.125
angles (deg): 75.67 75.67 60.00
Fractional positions:
Ni 0.686 0.686 0.943
Ni 0.199 0.704 0.393
Ni 0.314 0.314 0.057
Ni 0.801 0.296 0.607
Ni 0.704 0.199 0.393
Ni 0.704 0.704 0.393
Ni 0.296 0.801 0.607
Ni 0.296 0.296 0.607
Pa 0.776 0.776 0.672
Pa 0.000 0.000 0.000
Pa 0.224 0.224 0.328
Ga 0.606 0.606 0.181
Ga 0.394 0.394 0.819

calculated volume = 211 Å³ per cell
DFT total energy = -84.522 eV per cell
formation enthalpy at 0 K = -0.287 eV/atom


3.
## KTe3Au (PBE)

Data for an optimized crystal structure of KTe3Au.

a b c (Å): 6.894 6.894 6.894
angles (deg): 79.57 79.57 79.57
Fractional positions:
Te 0.822 0.245 0.667
Te 0.322 0.167 0.745
Te 0.745 0.322 0.167
Te 0.667 0.822 0.245
Te 0.245 0.667 0.822
Te 0.167 0.745 0.322
Au 0.494 0.494 0.494
Au 0.994 0.994 0.994
K 0.744 0.744 0.744
K 0.244 0.244 0.244

calculated volume = 313 Å³ per cell
DFT total energy = -30.082 eV per cell


4.
## NaPuI3 (PBE)

Data for an optimized crystal structure of NaPuI3.

a b c (Å): 7.929 7.929 8.832
angles (deg): 63.33 63.33 60.00
Each line ends with the local moment (μB).
Fractional positions:
I 0.238 0.941 0.249  -0.03
I 0.572 0.238 0.249  -0.03
I 0.762 0.059 0.751  -0.03
I 0.428 0.762 0.751  -0.03
I 0.941 0.572 0.249  -0.03
I 0.059 0.428 0.751  -0.03
Na 0.654 0.654 0.038  0.00
Na 0.346 0.346 0.962  0.00
Pu 0.838 0.838 0.486  5.76
Pu 0.162 0.162 0.514  5.76

calculated volume = 411 Å³ per cell
DFT total energy = -51.560 eV per cell


5.
## DyPdRh (PBE)

Data for an optimized crystal structure of DyPdRh.

a b c (Å): 5.953 4.123 3.554
angles (deg): 89.99 89.99 46.22
Fractional positions:
Dy 0.500 0.500 0.000
Pd 0.000 0.500 0.000
Rh 0.000 0.000 0.500

offset from the most stable computed form = 173 meV/atom
calculated volume = 63 Å³ per cell
DFT total energy = -18.500 eV per cell
formation enthalpy at 0 K = -0.451 eV/atom


6.
## LaFeGeH (PBE)

Data for an optimized crystal structure of LaFeGeH.

a b c (Å): 4.096 4.096 7.801
angles (deg): 90.00 90.00 90.00
Each line ends with the local moment (μB).
Fractional positions:
H 0.000 0.000 0.500  0.00
H 0.500 0.500 0.500  0.00
La 0.500 0.000 0.673  -0.02
La 0.000 0.500 0.327  -0.02
Fe 0.000 0.000 0.000  0.36
Fe 0.500 0.500 0.000  0.36
Ge 0.500 0.000 0.152  -0.02
Ge 0.000 0.500 0.848  -0.02

calculated volume = 131 Å³ per cell
DFT total energy = -47.082 eV per cell